[1]
Density functional theory data (PBE) for an optimized crystal structure of LiZnFe.

Results
ΔE_f in meV/atom: 135
V in A^3/atom: 13.16
Theoretical density in g/cm³: 5.39
E_tot in hartree per atom: -0.138
Distance to the lowest polymorph of the same formula in meV/atom: 158

a = 2.527 Å, b = 3.911 Å, c = 7.990 Å
α = 90.00°, β = 90.00°, γ = 90.00°
Space group Imm2 (No. 44)
Asymmetric unit:
Li1 0.000 0.000 0.000 [2 per cell]
Zn1 0.000 0.000 0.669 [2 per cell]
Fe1 0.000 0.000 0.326 [2 per cell]

[2]
Density functional theory data (PBE) for an optimized crystal structure of AcZn6Ni2.

Results
ΔE_f in meV/atom: 161
V in A^3/atom: 21.38
Theoretical density in g/cm³: 6.36
E_tot in hartree per atom: -0.089

a = 11.546 Å, b = 11.546 Å, c = 11.546 Å
α = 90.00°, β = 90.00°, γ = 90.00°
Space group Fd-3m (No. 227, origin choice 2)
Asymmetric unit:
Ac1 0.125 0.125 0.125 [8 per cell]
Zn1 0.095 0.375 0.875 [48 per cell]
Ni1 0.000 0.000 0.500 [16 per cell]

[3]
Density functional theory data (PBE) for an optimized crystal structure of SiSb2.

Results
Energy relative to the elements, uncorrected in eV/atom: 0.86
V in A^3/atom: 27.18
Theoretical density in g/cm³: 5.53
E_tot in hartree per atom: -0.136
Distance to the lowest polymorph of the same formula in meV/atom: 679

a = 8.673 Å, b = 8.673 Å, c = 8.673 Å
α = 90.00°, β = 90.00°, γ = 90.00°
Space group Fd-3m (No. 227, origin choice 2)
Asymmetric unit:
Si1 0.125 0.125 0.125 [8 per cell]
Sb1 0.000 0.000 0.500 [16 per cell]

Among the records above, which one has the highest V? SiSb2